Record 1
The following is a DFT calculation (GGA-PBEsol) of crystalline Sr2BO at its relaxed geometry.

Cell: 6.7493 6.7493 8.2532 Å, 90.00 90.00 90.00°
Last column: nearest neighbours and their distance in Å.
Space group I-42d (No. 122)
Symmetry-distinct sites (fractional):
Sr 0.1914 0.7500 0.1250 (multiplicity 8)  2 O 2.36
B 0.0000 0.0000 0.5000 (multiplicity 4)  4 Sr 2.87
O 0.0000 0.0000 0.0000 (multiplicity 4)  4 Sr 2.36

Values from the calculation:
- raw total energy (eV/f.u.) = -18.42

Record 2
The following is a DFT calculation (GGA-PBEsol) of crystalline TeRu2 at its relaxed geometry.

Cell: 2.9956 15.2649 4.1740 Å, 90.00 90.00 90.00°
Last column: nearest neighbours and their distance in Å.
Space group Cmcm (No. 63)
Symmetry-distinct sites (fractional):
Te 0.0000 0.1107 0.2500 (multiplicity 4)  6 Ru 2.66-2.67
Ru 0.0000 0.2184 0.7500 (multiplicity 4)  2 Te 2.66, 6 Ru 2.74-2.79
Ru 0.0000 0.4358 0.2500 (multiplicity 4)  4 Te 2.67, 4 Ru 2.79-2.86

Values from the calculation:
- E above lowest polymorph (meV/atom) = 122

Record 3
The following is a DFT calculation (GGA-PBEsol) of crystalline HfTeHI2 at its relaxed geometry.

Cell: 5.4080 5.4080 3.8080 Å, 90.00 90.00 90.00°
Last column: nearest neighbours and their distance in Å.
Space group P4/mmm (No. 123)
Symmetry-distinct sites (fractional):
Hf 0.0000 0.0000 0.0000 (multiplicity 1)  8 I 3.31
Te 0.5000 0.5000 0.0000 (multiplicity 1)  2 H 1.90
H 0.5000 0.5000 0.5000 (multiplicity 1)  2 Te 1.90
I 0.0000 0.5000 0.5000 (multiplicity 2)  2 H 2.70

Values from the calculation:
- raw total energy (eV/f.u.) = -18.57

Record 4
The following is a DFT calculation (GGA-PBEsol) of crystalline Tl2TcPb at its relaxed geometry.

Cell: 3.1905 3.1905 31.2324 Å, 90.00 90.00 120.00°
Last column: nearest neighbours and their distance in Å.
Space group R-3m (No. 166, hexagonal axes)
Symmetry-distinct sites (fractional):
Tl 0.0000 0.0000 0.2375 (multiplicity 6)  3 Tc 2.88, 6 Tl 3.19
Tc 0.0000 0.0000 0.5000 (multiplicity 3)  6 Tl 2.88, 6 Tc 3.19
Pb 0.0000 0.0000 0.0000 (multiplicity 3)  6 Pb 3.19, 6 Tl 3.52

Values from the calculation:
- DFT formation energy (eV/atom) = 0.60

Record 5
The following is a DFT calculation (GGA-PBEsol) of crystalline Rb2CrIr at its relaxed geometry.

Cell: 7.6507 7.6507 7.6507 Å, 90.00 90.00 90.00°
Last column: nearest neighbours and their distance in Å.
Space group Fm-3m (No. 225)
Symmetry-distinct sites (fractional):
Rb 0.2500 0.2500 0.2500 (multiplicity 8)  4 Cr 3.31, 4 Ir 3.31
Cr 0.0000 0.0000 0.0000 (multiplicity 4)  8 Rb 3.31
Ir 0.0000 0.0000 0.5000 (multiplicity 4)  8 Rb 3.31

Values from the calculation:
- DFT formation energy (eV/atom) = 1.68

Record 6
The following is a DFT calculation (GGA-PBEsol) of crystalline La2InRe at its relaxed geometry.

Cell: 3.4309 3.4309 30.5429 Å, 90.00 90.00 120.00°
Last column: nearest neighbours and their distance in Å.
Space group R-3m (No. 166, hexagonal axes)
Symmetry-distinct sites (fractional):
La 0.0000 0.0000 0.2374 (multiplicity 6)  3 Re 2.93
In 0.0000 0.0000 0.0000 (multiplicity 3)  6 In 3.43, 6 La 3.54
Re 0.0000 0.0000 0.5000 (multiplicity 3)  6 La 2.93

Values from the calculation:
- DFT formation energy (eV/atom) = 0.31

Record 7
The following is a DFT calculation (GGA-PBEsol) of crystalline TiCd2FeAu at its relaxed geometry.

Cell: 5.0173 5.0173 4.9364 Å, 90.00 90.00 90.00°
Last column: nearest neighbours and their distance in Å.
Space group P4/mmm (No. 123)
Symmetry-distinct sites (fractional):
Ti 0.0000 0.0000 0.0000 (multiplicity 1)  2 Au 2.47
Cd 0.0000 0.5000 0.5000 (multiplicity 2)  2 Au 2.51
Fe 0.5000 0.5000 0.0000 (multiplicity 1)  8 Cd 3.52, 4 Ti 3.55
Au 0.0000 0.0000 0.5000 (multiplicity 1)  2 Ti 2.47, 4 Cd 2.51

Values from the calculation:
- DFT formation energy (eV/atom) = 1.05

Record 8
The following is a DFT calculation (GGA-PBEsol) of crystalline ScAg2W at its relaxed geometry.

Cell: 4.0165 4.0165 8.4735 Å, 90.00 90.00 90.00°
Last column: nearest neighbours and their distance in Å.
Space group I-4m2 (No. 119)
Symmetry-distinct sites (fractional):
Sc 0.0000 0.0000 0.0000 (multiplicity 2)  8 Ag 2.84-2.92, 4 W 2.92
Ag 0.0000 0.0000 0.5000 (multiplicity 2)  4 Sc 2.84, 4 W 2.92, 4 Ag 2.92
Ag 0.0000 0.5000 0.7500 (multiplicity 2)  4 W 2.84, 4 Sc 2.92, 4 Ag 2.92
W 0.0000 0.5000 0.2500 (multiplicity 2)  8 Ag 2.84-2.92, 4 Sc 2.92

Values from the calculation:
- DFT formation energy (eV/atom) = 0.48
- E above lowest polymorph (meV/atom) = 195

Record 9
The following is a DFT calculation (GGA-PBEsol) of crystalline ReIrAu2 at its relaxed geometry.

Cell: 2.7488 4.7250 9.6890 Å, 90.00 90.00 90.00°
Last column: nearest neighbours and their distance in Å.
Space group Cmmm (No. 65)
Symmetry-distinct sites (fractional):
Re 0.0000 0.0000 0.0000 (multiplicity 2)  6 Re 2.73-2.75, 4 Au 2.80
Ir 0.0000 0.0000 0.5000 (multiplicity 2)  6 Ir 2.73-2.75, 4 Au 2.77
Au 0.0000 0.5000 0.2514 (multiplicity 4)  6 Au 2.73-2.75, 2 Ir 2.77, 2 Re 2.80

Values from the calculation:
- DFT formation energy (eV/atom) = 0.53
- E above lowest polymorph (meV/atom) = 14

Record 10
The following is a DFT calculation (GGA-PBEsol) of crystalline LiMg2Al2 at its relaxed geometry.

Cell: 8.3601 8.3601 2.9363 Å, 90.00 90.00 90.00°
Last column: nearest neighbours and their distance in Å.
Space group P4/mbm (No. 127)
Symmetry-distinct sites (fractional):
Li 0.0000 0.0000 0.0000 (multiplicity 2)  2 Li 2.94, 4 Mg 3.29
Mg 0.1286 0.3714 0.0000 (multiplicity 4)  6 Al 2.81-2.90, 3 Mg 2.94-3.04
Al 0.1685 0.6685 0.5000 (multiplicity 4)  6 Mg 2.81-2.90, 2 Al 2.94

Values from the calculation:
- DFT formation energy (eV/atom) = 0.08

Record 11
The following is a DFT calculation (GGA-PBEsol) of crystalline LiInOs2 at its relaxed geometry.

Cell: 2.8815 4.5111 4.5896 Å, 90.00 90.00 90.00°
Last column: nearest neighbours and their distance in Å.
Space group Pmmm (No. 47)
Symmetry-distinct sites (fractional):
Li 0.0000 0.0000 0.0000 (multiplicity 1)  4 In 2.68, 4 Os 2.71, 2 Li 2.88
In 0.5000 0.5000 0.0000 (multiplicity 1)  4 Li 2.68, 4 Os 2.71, 2 In 2.88
Os 0.0000 0.5000 0.5000 (multiplicity 1)  6 Os 2.68-2.88, 4 In 2.71
Os 0.5000 0.0000 0.5000 (multiplicity 1)  6 Os 2.68-2.88, 4 Li 2.71

Values from the calculation:
- DFT formation energy (eV/atom) = 0.38

Record 12
The following is a DFT calculation (GGA-PBEsol) of crystalline RbGeAu2 at its relaxed geometry.

Cell: 5.4757 5.4757 16.3867 Å, 90.00 90.00 90.00°
Last column: nearest neighbours and their distance in Å.
Space group I4_1/amd (No. 141, origin choice 2)
Symmetry-distinct sites (fractional):
Rb 0.0000 0.2500 0.3750 (multiplicity 4)  8 Au 3.68, 4 Ge 3.87
Ge 0.0000 0.2500 0.8750 (multiplicity 4)  4 Au 2.46
Au 0.0000 0.0000 0.0000 (multiplicity 8)  2 Ge 2.46, 2 Au 2.74

Values from the calculation:
- DFT formation energy (eV/atom) = -0.11

Record 13
The following is a DFT calculation (GGA-PBEsol) of crystalline RbCaZnIr2 at its relaxed geometry.

Cell: 4.8879 4.8879 5.0468 Å, 90.00 90.00 90.00°
Last column: nearest neighbours and their distance in Å.
Space group P4/mmm (No. 123)
Symmetry-distinct sites (fractional):
Rb 0.0000 0.0000 0.0000 (multiplicity 1)  4 Ir 2.44, 2 Ca 2.52
Ca 0.0000 0.0000 0.5000 (multiplicity 1)  2 Rb 2.52
Zn 0.5000 0.5000 0.5000 (multiplicity 1)  4 Ca 3.46, 8 Ir 3.51
Ir 0.0000 0.5000 0.0000 (multiplicity 2)  2 Rb 2.44

Values from the calculation:
- DFT formation energy (eV/atom) = 2.22

Record 14
The following is a DFT calculation (GGA-PBEsol) of crystalline Co3Cu at its relaxed geometry.

Cell: 2.4567 2.4567 24.3180 Å, 90.00 90.00 120.00°
Last column: nearest neighbours and their distance in Å.
Space group R-3m (No. 166, hexagonal axes)
Symmetry-distinct sites (fractional):
Co 0.0000 0.0000 0.0000 (multiplicity 3)  12 Co 2.42-2.46
Co 0.0000 0.0000 0.2525 (multiplicity 6)  9 Co 2.42-2.46, 3 Cu 2.52
Cu 0.0000 0.0000 0.5000 (multiplicity 3)  6 Cu 2.46, 6 Co 2.52

Values from the calculation:
- DFT formation energy (eV/atom) = 0.07

Record 15
The following is a DFT calculation (GGA-PBEsol) of crystalline Be7Au6 at its relaxed geometry.

Cell: 4.7026 4.7026 24.8826 Å, 90.00 90.00 120.00°
Last column: nearest neighbours and their distance in Å.
Space group R-3m (No. 166, hexagonal axes)
Symmetry-distinct sites (fractional):
Be 0.0000 0.0000 0.0000 (multiplicity 3)  6 Be 2.32
Be 0.0106 0.5053 0.5897 (multiplicity 18)  5 Be 2.28-2.43, 4 Au 2.39-2.50
Au 0.0000 0.0000 0.1730 (multiplicity 6)  6 Be 2.50-2.73, 3 Au 2.73
Au 0.0000 0.0000 0.3343 (multiplicity 6)  3 Be 2.39
Au 0.0000 0.0000 0.4448 (multiplicity 6)  6 Be 2.50, 2 Au 2.75

Values from the calculation:
- DFT formation energy (eV/atom) = -0.14

Record 16
The following is a DFT calculation (GGA-PBEsol) of crystalline CrPtSeN2 at its relaxed geometry.

Cell: 3.5841 3.5841 5.3021 Å, 90.00 90.00 90.00°
Last column: nearest neighbours and their distance in Å.
Space group P4/mmm (No. 123)
Symmetry-distinct sites (fractional):
Cr 0.0000 0.0000 0.0000 (multiplicity 1)  4 N 1.79
Pt 0.5000 0.5000 0.5000 (multiplicity 1)  4 Se 2.53
Se 0.0000 0.0000 0.5000 (multiplicity 1)  4 Pt 2.53, 2 Cr 2.65
N 0.0000 0.5000 0.0000 (multiplicity 2)  2 Cr 1.79

Values from the calculation:
- raw total energy (eV/f.u.) = -35.19

Record 17
The following is a DFT calculation (GGA-PBEsol) of crystalline ScFeO3 at its relaxed geometry.

Cell: 5.6865 5.6865 11.1756 Å, 90.00 90.00 120.00°
Last column: nearest neighbours and their distance in Å.
Space group P6_3cm (No. 185)
Symmetry-distinct sites (fractional):
Sc 0.0000 0.0000 0.0000 (multiplicity 2)  7 O 2.13-2.20
Sc 0.3333 0.6667 0.0486 (multiplicity 4)  7 O 2.11-2.35
Fe 0.0000 0.3338 0.2784 (multiplicity 6)  5 O 1.86-1.92
O 0.0000 0.0000 0.3035 (multiplicity 2)  3 Fe 1.92
O 0.0000 0.3030 0.1124 (multiplicity 6)  1 Fe 1.86
O 0.0000 0.3633 0.4439 (multiplicity 6)  1 Fe 1.86
O 0.3333 0.6667 0.2592 (multiplicity 4)  3 Fe 1.91

Values from the calculation:
- raw total energy (eV/f.u.) = -43.18

Record 18
The following is a DFT calculation (GGA-PBEsol) of crystalline ZnFeCo at its relaxed geometry.

Cell: 2.5531 3.5234 7.5708 Å, 90.00 90.00 90.00°
Last column: nearest neighbours and their distance in Å.
Space group Imm2 (No. 44)
Symmetry-distinct sites (fractional):
Zn 0.0000 0.0000 0.0000 (multiplicity 2)  5 Fe 2.49-2.53, 5 Co 2.52, 2 Zn 2.55
Fe 0.0000 0.0000 0.3283 (multiplicity 2)  5 Zn 2.49-2.53, 5 Co 2.49-2.57, 2 Fe 2.55
Co 0.0000 0.0000 0.6676 (multiplicity 2)  5 Fe 2.49-2.57, 5 Zn 2.52, 2 Co 2.55

Values from the calculation:
- DFT formation energy (eV/atom) = 0.01
- E above lowest polymorph (meV/atom) = 10

Record 19
The following is a DFT calculation (GGA-PBEsol) of crystalline ZrTc3 at its relaxed geometry.

Cell: 8.7720 8.7720 2.7702 Å, 90.00 90.00 120.00°
Last column: nearest neighbours and their distance in Å.
Space group R-3m (No. 166, hexagonal axes)
Symmetry-distinct sites (fractional):
Zr 0.0000 0.0000 0.0000 (multiplicity 3)  6 Tc 2.70, 2 Zr 2.77
Tc 0.0000 0.5000 0.0000 (multiplicity 9)  6 Tc 2.70-2.77, 2 Zr 2.70

Values from the calculation:
- DFT formation energy (eV/atom) = 0.00

Record 20
The following is a DFT calculation (GGA-PBEsol) of crystalline MgHgOs2 at its relaxed geometry.

Cell: 2.8151 4.7500 4.8408 Å, 90.00 90.29 90.00°
Last column: nearest neighbours and their distance in Å.
Space group P2/m (No. 10)
Symmetry-distinct sites (fractional):
Mg 0.0000 0.0000 0.0000 (multiplicity 1)  4 Os 2.73, 4 Hg 2.79-2.81, 2 Mg 2.82
Hg 0.5000 0.0000 0.5000 (multiplicity 1)  4 Mg 2.79-2.81, 4 Os 2.79, 2 Hg 2.82
Os 0.2779 0.5000 0.7747 (multiplicity 2)  2 Os 2.51-2.69, 2 Mg 2.73, 2 Hg 2.79

Values from the calculation:
- DFT formation energy (eV/atom) = 0.56